Here is a relaxed K2Ni2OsO6 crystal from the Alexandria database. Energies are from GGA+U.

Summary:
Magnetization ... 0.548 μB per atom
Electronic total energy ... -5.579 eV/atom

abc: 5.315 5.315 6.459
angles: 98.80 98.80 119.40
Fractional positions:
K 0.173 0.827 0.000
K 0.827 0.173 0.000
Ni 0.335 0.665 0.500
Ni 0.665 0.335 0.500
Os 0.000 0.000 0.500
O 0.060 0.372 0.671
O 0.248 0.248 0.330
O 0.372 0.060 0.671
O 0.628 0.940 0.329
O 0.752 0.752 0.670
O 0.940 0.628 0.329